Entry 1:
A plane-wave DFT calculation with PBE was carried out for a relaxed TiHg2Cl crystal.

The space group is Fm-3m (No. 225) and the conventional cell measures 7.275, 7.275 and 7.275 Å, with angles of 90.00, 90.00 and 90.00 degrees. The asymmetric unit holds Ti at (0.000, 0.000, 0.000), Hg at (0.250, 0.250, 0.250) and Cl at (0.000, 0.000, 0.500).

As for the raw total energy: -2.310 eV/atom. Its calculated density is 8.4 g cm⁻³. For the total magnetization, the calculation gives 2.59 μB per formula unit. As for the energy above the most stable polymorph in this dataset: 410 meV/atom.



Entry 2:
A plane-wave DFT calculation with PBE was carried out for a relaxed OsPbCl2 crystal.

The space group is C2/m (No. 12) and the conventional cell measures 13.157, 3.293 and 5.143 Å, with angles of 90.00, 112.83 and 90.00 degrees. The asymmetric unit holds Os at (0.000, 0.000, 0.000), Pb at (0.000, 0.500, 0.500) and Cl at (0.149, 0.500, 0.150).

As for the raw total energy: -4.459 eV/atom. Its calculated density is 7.6 g cm⁻³. For the total magnetization, the calculation gives 0.33 μB per formula unit. As for the energy above the most stable polymorph in this dataset: 87 meV/atom.



Entry 3:
A plane-wave DFT calculation with PBE was carried out for a relaxed Cs2BaTcI6 crystal.

The space group is Fm-3m (No. 225) and the conventional cell measures 12.264, 12.264 and 12.264 Å, with angles of 90.00, 90.00 and 90.00 degrees. The asymmetric unit holds Cs at (0.250, 0.250, 0.250), Ba at (0.000, 0.000, 0.000), Tc at (0.000, 0.000, 0.500) and I at (0.000, 0.000, 0.274).

As for the raw total energy: -3.313 eV/atom. Its calculated density is 4.5 g cm⁻³. For the total magnetization, the calculation gives 1.00 μB per formula unit.



Entry 4:
A plane-wave DFT calculation with PBE was carried out for a relaxed BaYNpO6 crystal.

The space group is P-31c (No. 163) and the conventional cell measures 5.8772, 5.8772 and 11.0019 Å, with angles of 90.00, 90.00 and 120.00 degrees. The asymmetric unit holds Ba at (0.0000, 0.0000, 0.0000), Y at (0.3333, 0.6667, 0.2500), Np at (0.3333, 0.6667, 0.7500) and O at (0.0307, 0.3920, 0.6493).

As for the raw total energy: -8.670 eV/atom. Its calculated density is 5.6 g cm⁻³. For the total magnetization, the calculation gives 0.00 μB per formula unit.



Entry 5:
A plane-wave DFT calculation with PBE was carried out for a relaxed Cs4Bi2O5F crystal.

The space group is Amm2 (No. 38) and the conventional cell measures 8.100, 11.932 and 6.421 Å, with angles of 90.00, 90.00 and 90.00 degrees. The asymmetric unit holds Cs at (0.000, 0.180, 0.000), Cs at (0.281, 0.000, 0.500), Bi at (0.500, 0.187, 0.012), O at (0.319, 0.234, 0.750), O at (0.500, 0.000, 0.065) and F at (0.000, 0.000, 0.273).

As for the raw total energy: -4.580 eV/atom. Its calculated density is 5.6 g cm⁻³. For the total magnetization, the calculation gives 0.00 μB per formula unit.



Entry 6:
A plane-wave DFT calculation with PBE was carried out for a relaxed Pm2Pr7Sc2 crystal.

The space group is P2/m (No. 10) and the conventional cell measures 5.658, 9.663 and 6.962 Å, with angles of 90.00, 90.00 and 90.00 degrees. The asymmetric unit holds Pm at (0.001, 0.000, 0.221), Pr at (0.000, 0.311, 0.500), Pr at (0.000, 0.345, 0.000), Pr at (0.500, 0.000, 0.500), Pr at (0.500, 0.175, 0.000) and Sc at (0.500, 0.500, 0.234).

Its formation energy is 1.874 eV per formula unit. As for the raw total energy: -4.886 eV/atom. Its calculated density is 6.0 g cm⁻³. For the total magnetization, the calculation gives 0.00 μB per formula unit. As for the energy above the most stable polymorph in this dataset: 0 meV/atom.



Entry 7:
A plane-wave DFT calculation with PBE was carried out for a relaxed Y2CdW crystal.

The space group is P4mm (No. 99) and the conventional cell measures 3.877, 3.877 and 6.455 Å, with angles of 90.00, 90.00 and 90.00 degrees. The asymmetric unit holds Y at (0.000, 0.000, 0.000), Y at (0.500, 0.500, 0.310), Cd at (0.000, 0.000, 0.551) and W at (0.500, 0.500, 0.809).

Its formation energy is 1.942 eV per formula unit. As for the raw total energy: -6.214 eV/atom. Its calculated density is 8.1 g cm⁻³. For the total magnetization, the calculation gives 0.00 μB per formula unit.



Entry 8:
A plane-wave DFT calculation with PBE was carried out for a relaxed LaScAs2Br crystal.

The space group is P4/mmm (No. 123) and the conventional cell measures 5.653, 5.653 and 5.564 Å, with angles of 90.00, 90.00 and 90.00 degrees. The asymmetric unit holds La at (0.000, 0.000, 0.000), Sc at (0.500, 0.500, 0.500), As at (0.000, 0.500, 0.000) and Br at (0.000, 0.000, 0.500).

As for the raw total energy: -4.506 eV/atom. Its calculated density is 3.9 g cm⁻³. For the total magnetization, the calculation gives 0.36 μB per formula unit. As for the energy above the most stable polymorph in this dataset: 874 meV/atom.



Entry 9:
A plane-wave DFT calculation with PBE was carried out for a relaxed KFeCo crystal.

The space group is P1 (No. 1) and the conventional cell measures 2.947, 3.935 and 12.063 Å, with angles of 90.24, 96.88 and 90.00 degrees. The asymmetric unit holds K at (0.000, 0.000, 0.000), K at (0.325, 0.515, 0.650), Fe at (0.122, 0.510, 0.240), Fe at (0.206, 0.013, 0.410), Co at (0.627, 0.010, 0.250) and Co at (0.701, 0.512, 0.400).

Its formation energy is 1.254 eV per formula unit. As for the raw total energy: -5.138 eV/atom. Its calculated density is 3.7 g cm⁻³. For the total magnetization, the calculation gives 4.39 μB per formula unit. As for the energy above the most stable polymorph in this dataset: 0 meV/atom.



Entry 10:
A plane-wave DFT calculation with PBE was carried out for a relaxed U2Te3H crystal.

The space group is Pnma (No. 62) and the conventional cell measures 11.857, 4.083 and 12.251 Å, with angles of 90.00, 90.00 and 90.00 degrees. The asymmetric unit holds U at (0.048, 0.250, 0.179), U at (0.206, 0.250, 0.517), Te at (0.058, 0.750, 0.378), Te at (0.116, 0.250, 0.936), Te at (0.197, 0.750, 0.705) and H at (0.132, 0.750, 0.126).

As for the raw total energy: -6.515 eV/atom. Its calculated density is 9.6 g cm⁻³. For the total magnetization, the calculation gives 5.01 μB per formula unit.



Entry 11:
A plane-wave DFT calculation with PBE was carried out for a relaxed AlRh2 crystal.

The space group is P-1 (No. 2) and the conventional cell measures 5.347, 5.438 and 6.613 Å, with angles of 109.47, 97.57 and 106.27 degrees. The asymmetric unit holds Al at (0.037, 0.124, 0.285), Al at (0.399, 0.681, 0.664), Rh at (0.055, 0.637, 0.337), Rh at (0.274, 0.834, 0.038), Rh at (0.280, 0.344, 0.028) and Rh at (0.383, 0.177, 0.619).

Its formation energy is -1.801 eV per formula unit. As for the raw total energy: -6.749 eV/atom. Its calculated density is 9.2 g cm⁻³. For the total magnetization, the calculation gives 0.00 μB per formula unit.



Entry 12:
A plane-wave DFT calculation with PBE was carried out for a relaxed GdDyScAg crystal.

The space group is F-43m (No. 216) and the conventional cell measures 7.467, 7.467 and 7.467 Å, with angles of 90.00, 90.00 and 90.00 degrees. The asymmetric unit holds Gd at (0.000, 0.000, 0.000), Dy at (0.000, 0.000, 0.500), Sc at (0.250, 0.250, 0.250) and Ag at (0.250, 0.250, 0.750).

Its formation energy is 0.120 eV per formula unit. As for the raw total energy: -6.936 eV/atom. Its calculated density is 7.5 g cm⁻³. For the total magnetization, the calculation gives 7.42 μB per formula unit.